[1]
Here is Li3Ca4Zn after structural relaxation from Alexandria. Energies are from PBE-GGA.

Its symmetry is Pmm2 (25). The value obtained for the density of states at the Fermi level is 0.82 states/eV per atom. As for the energy relative to the lowest polymorph listed for this composition: 0.11 eV/f.u. The calculation puts the volume at 30.11 A^3/atom. For the total magnetization, the calculation gives 0.0 μB/f.u.

abc: 4.084 4.838 12.193
angles: 90.00 90.00 90.00
Element x y z (fractional)
Li 0.000 0.000 0.000
Li 0.000 0.500 0.137
Li 0.500 0.000 0.509
Ca 0.000 0.000 0.712
Ca 0.000 0.500 0.434
Ca 0.500 0.000 0.228
Ca 0.500 0.500 0.903
Zn 0.500 0.500 0.637

---

[2]
Here is Li5Ca2Zn12 after structural relaxation from Alexandria. Energies are from PBE-GGA.

Its symmetry is R-3m (166). The value obtained for the density of states at the Fermi level is 0.35 states/eV per atom. The calculation puts the volume at 16.69 A^3/atom. For the total magnetization, the calculation gives 0.0 μB/f.u.

abc: 6.858 6.858 6.858
angles: 83.76 83.76 83.76
Element x y z (fractional)
Li 0.000 0.000 0.500
Li 0.000 0.500 0.000
Li 0.096 0.096 0.096
Li 0.500 0.000 0.000
Li 0.904 0.904 0.904
Ca 0.346 0.346 0.346
Ca 0.654 0.654 0.654
Zn 0.000 0.295 0.705
Zn 0.000 0.705 0.295
Zn 0.154 0.652 0.652
Zn 0.295 0.000 0.705
Zn 0.295 0.705 0.000
Zn 0.348 0.348 0.846
Zn 0.348 0.846 0.348
Zn 0.652 0.154 0.652
Zn 0.652 0.652 0.154
Zn 0.705 0.000 0.295
Zn 0.705 0.295 0.000
Zn 0.846 0.348 0.348

---

[3]
Here is LiCaZn2 after structural relaxation from Alexandria. Energies are from PBE-GGA.

Its symmetry is P4mm (99). The value obtained for the density of states at the Fermi level is 0.75 states/eV per atom. As for the energy relative to the lowest polymorph listed for this composition: 0.42 eV/f.u. The calculation puts the volume at 20.86 A^3/atom. For the total magnetization, the calculation gives 0.0 μB/f.u.

abc: 3.470 3.470 6.931
angles: 90.00 90.00 90.00
Element x y z (fractional)
Li 0.000 0.000 0.000
Ca 0.500 0.500 0.664
Zn 0.000 0.000 0.388
Zn 0.500 0.500 0.187

---

[4]
Here is LiCaZn2 after structural relaxation from Alexandria. Energies are from PBE-GGA.

Its symmetry is Imm2 (44). The value obtained for the density of states at the Fermi level is 0.28 states/eV per atom. As for the energy relative to the lowest polymorph listed for this composition: 0.18 eV/f.u. The calculation puts the volume at 20.85 A^3/atom. For the total magnetization, the calculation gives 0.0 μB/f.u.

abc: 3.861 5.018 8.608
angles: 90.00 90.00 90.00
Element x y z (fractional)
Li 0.000 0.000 0.000
Li 0.500 0.500 0.500
Ca 0.000 0.500 0.790
Ca 0.500 0.000 0.290
Zn 0.000 0.000 0.567
Zn 0.000 0.500 0.266
Zn 0.500 0.000 0.766
Zn 0.500 0.500 0.067

---

[5]
Here is Li15CaZn4 after structural relaxation from Alexandria. Energies are from PBE-GGA.

Its symmetry is P4/mmm (123). The value obtained for the density of states at the Fermi level is 0.43 states/eV per atom. The calculation puts the volume at 18.18 A^3/atom. For the total magnetization, the calculation gives 0.0 μB/f.u.

abc: 4.717 4.717 16.337
angles: 90.00 90.00 90.00
Element x y z (fractional)
Li 0.000 0.000 0.000
Li 0.000 0.000 0.219
Li 0.000 0.000 0.407
Li 0.000 0.000 0.593
Li 0.000 0.000 0.781
Li 0.000 0.500 0.136
Li 0.000 0.500 0.317
Li 0.000 0.500 0.500
Li 0.000 0.500 0.683
Li 0.000 0.500 0.864
Li 0.500 0.000 0.136
Li 0.500 0.000 0.317
Li 0.500 0.000 0.500
Li 0.500 0.000 0.683
Li 0.500 0.000 0.864
Ca 0.500 0.500 0.000
Zn 0.500 0.500 0.230
Zn 0.500 0.500 0.410
Zn 0.500 0.500 0.590
Zn 0.500 0.500 0.770

---

[6]
Here is Li5Ca3Zn after structural relaxation from Alexandria. Energies are from PBE-GGA.

Its symmetry is P-62m (189). The value obtained for the density of states at the Fermi level is 0.55 states/eV per atom. The calculation puts the volume at 26.74 A^3/atom. For the total magnetization, the calculation gives 0.0 μB/f.u.

abc: 7.626 7.626 4.778
angles: 90.00 90.00 120.00
Element x y z (fractional)
Li 0.000 0.779 0.000
Li 0.221 0.221 0.000
Li 0.333 0.667 0.000
Li 0.667 0.333 0.000
Li 0.779 0.000 0.000
Ca 0.000 0.406 0.500
Ca 0.406 0.000 0.500
Ca 0.594 0.594 0.500
Zn 0.000 0.000 0.500

---

[7]
Here is Li3Ca3Zn8 after structural relaxation from Alexandria. Energies are from PBE-GGA.

Its symmetry is Immm (71). The value obtained for the density of states at the Fermi level is 0.58 states/eV per atom. The calculation puts the volume at 19.82 A^3/atom. For the total magnetization, the calculation gives 0.0 μB/f.u.

abc: 8.482 8.482 8.482
angles: 148.94 116.56 72.31
Element x y z (fractional)
Li 0.000 0.000 0.000
Li 0.200 0.500 0.700
Li 0.800 0.500 0.300
Ca 0.209 0.709 0.500
Ca 0.500 0.000 0.500
Ca 0.791 0.291 0.500
Zn 0.078 0.861 0.216
Zn 0.190 0.335 0.855
Zn 0.355 0.139 0.216
Zn 0.479 0.335 0.145
Zn 0.521 0.665 0.855
Zn 0.645 0.861 0.784
Zn 0.810 0.665 0.145
Zn 0.922 0.139 0.784

---

[8]
Here is LiCaZn3 after structural relaxation from Alexandria. Energies are from PBE-GGA.

Its symmetry is Pm-3m (221). The value obtained for the density of states at the Fermi level is 0.39 states/eV per atom. As for the energy relative to the lowest polymorph listed for this composition: 0.99 eV/f.u. The calculation puts the volume at 19.97 A^3/atom. For the total magnetization, the calculation gives 0.0 μB/f.u.

abc: 4.639 4.639 4.639
angles: 90.00 90.00 90.00
Element x y z (fractional)
Li 0.000 0.000 0.000
Ca 0.500 0.500 0.500
Zn 0.000 0.000 0.500
Zn 0.000 0.500 0.000
Zn 0.500 0.000 0.000

---

| no. | calculated formation energy (eV per atom) |
| --- | --- |
| 1 | -0.04 |
| 2 | -0.21 |
| 3 | -0.08 |
| 4 | -0.14 |
| 5 | -0.06 |
| 6 | -0.02 |
| 7 | -0.22 |
| 8 | 0.01 |